(1)
# SiMo2Pt

A geometry-optimized SiMo2Pt structure (PBE-GGA, Alexandria).

Computed properties:
Its formation energy from raw total energies is -0.264 eV per atom. The magnetization is 0.0000 μB per atom. The calculation puts the density of states at the Fermi level at 0.425 states/eV per atom.

a b c (Å): 2.888 2.888 7.070
angles (deg): 90.00 90.00 90.00
Atoms (fractional coordinates):
Mo: 0.000 0.000 0.973
Mo: 0.000 0.000 0.527
Si: 0.500 0.500 0.750
Pt: 0.500 0.500 0.250


(2)
# SiMo2Pt

A geometry-optimized SiMo2Pt structure (PBE-GGA, Alexandria).

Computed properties:
Its formation energy from raw total energies is -0.174 eV per atom. The magnetization is 0.0000 μB per atom. The calculation puts the density of states at the Fermi level at 0.838 states/eV per atom.

a b c (Å): 4.900 4.900 2.802
angles (deg): 89.96 89.96 116.99
Atoms (fractional coordinates):
Pt: 0.500 0.000 0.500
Si: 0.000 0.500 0.500
Mo: 0.500 0.500 0.000
Mo: 0.000 0.000 0.000


(3)
# SiMo2Pt

A geometry-optimized SiMo2Pt structure (PBE-GGA, Alexandria).

Computed properties:
Its formation energy from raw total energies is -0.266 eV per atom. The magnetization is 0.0000 μB per atom. The calculation puts the density of states at the Fermi level at 0.631 states/eV per atom.

a b c (Å): 5.023 5.023 5.023
angles (deg): 142.87 127.70 65.88
Atoms (fractional coordinates):
Si: 0.257 0.757 0.500
Mo: 0.019 0.019 0.000
Mo: 0.750 0.250 0.500
Pt: 0.474 0.474 0.000


(4)
# Si2MoPt

A geometry-optimized Si2MoPt structure (PBE-GGA, Alexandria).

Computed properties:
Its formation energy from raw total energies is -0.312 eV per atom. The magnetization is 0.0000 μB per atom. The calculation puts the density of states at the Fermi level at 0.194 states/eV per atom.

a b c (Å): 4.285 4.285 4.285
angles (deg): 60.00 60.00 60.00
Atoms (fractional coordinates):
Si: 0.250 0.250 0.250
Si: 0.750 0.750 0.750
Pt: 0.500 0.500 0.500
Mo: 0.000 0.000 0.000


(5)
# SiMo2Pt

A geometry-optimized SiMo2Pt structure (PBE-GGA, Alexandria).

Computed properties:
Its formation energy from raw total energies is -0.177 eV per atom. The magnetization is 0.0000 μB per atom. The calculation puts the density of states at the Fermi level at 0.635 states/eV per atom.

a b c (Å): 4.341 3.715 3.715
angles (deg): 90.00 90.00 90.00
Atoms (fractional coordinates):
Mo: 0.000 0.000 0.000
Mo: 0.000 0.500 0.500
Pt: 0.500 0.500 0.000
Si: 0.500 0.000 0.500


(6)
# Si2MoPt

A geometry-optimized Si2MoPt structure (PBE-GGA, Alexandria).

Computed properties:
Its formation energy from raw total energies is -0.246 eV per atom. The magnetization is 0.0000 μB per atom. The calculation puts the density of states at the Fermi level at 0.625 states/eV per atom.

a b c (Å): 4.458 4.458 5.295
angles (deg): 74.18 74.18 35.73
Atoms (fractional coordinates):
Pt: 0.250 0.250 0.250
Si: 0.509 0.509 0.518
Si: 0.991 0.991 0.982
Mo: 0.750 0.750 0.750


(7)
# Si2MoPt

A geometry-optimized Si2MoPt structure (PBE-GGA, Alexandria).

Computed properties:
Its formation energy from raw total energies is -0.389 eV per atom. The magnetization is 0.0000 μB per atom. The calculation puts the density of states at the Fermi level at 0.690 states/eV per atom.

a b c (Å): 4.814 4.814 4.296
angles (deg): 74.46 74.46 36.77
Atoms (fractional coordinates):
Pt: 0.256 0.256 0.181
Si: 0.006 0.006 0.054
Si: 0.748 0.748 0.689
Mo: 0.489 0.489 0.577


(8)
# Sm2Si4MoPt3

A geometry-optimized Sm2Si4MoPt3 structure (PBE-GGA, Alexandria).

Computed properties:
Its formation energy from raw total energies is -0.967 eV per atom. The magnetization is 0.0000 μB per atom. The calculation puts the density of states at the Fermi level at 0.588 states/eV per atom.

a b c (Å): 4.238 4.238 9.977
angles (deg): 90.00 90.00 90.00
Atoms (fractional coordinates):
Sm: 0.000 0.500 0.758
Sm: 0.500 0.000 0.242
Si: 0.000 0.000 0.000
Si: 0.000 0.500 0.368
Si: 0.500 0.000 0.632
Si: 0.500 0.500 0.000
Mo: 0.500 0.500 0.500
Pt: 0.000 0.500 0.122
Pt: 0.000 0.000 0.500
Pt: 0.500 0.000 0.878


(9)
# Ta2SiMoPt

A geometry-optimized Ta2SiMoPt structure (PBE-GGA, Alexandria).

Computed properties:
Its formation energy from raw total energies is 1.190 eV per atom. The magnetization is 0.0000 μB per atom. The calculation puts the density of states at the Fermi level at 1.035 states/eV per atom.

a b c (Å): 4.797 4.534 4.797
angles (deg): 90.00 90.00 90.00
Atoms (fractional coordinates):
Ta: 0.000 0.000 0.500
Ta: 0.500 0.000 0.000
Mo: 0.000 0.000 0.000
Pt: 0.500 0.500 0.500
Si: 0.000 0.500 0.000


(10)
# TlSi2MoPt

A geometry-optimized TlSi2MoPt structure (PBE-GGA, Alexandria).

Computed properties:
Its formation energy from raw total energies is 0.792 eV per atom. The magnetization is 0.6004 μB per atom. The calculation puts the density of states at the Fermi level at 1.146 states/eV per atom.

a b c (Å): 4.555 4.555 5.452
angles (deg): 90.00 90.00 90.00
Site moments in Bohr magnetons follow the coordinates.
Atoms (fractional coordinates):
Tl: 0.500 0.500 0.500  -0.02
Mo: 0.000 0.000 0.500  2.53
Pt: 0.000 0.000 0.000  0.08
Si: 0.500 0.000 0.000  0.00
Si: 0.000 0.500 0.000  0.00


(11)
# Y2Si4MoPt3

A geometry-optimized Y2Si4MoPt3 structure (PBE-GGA, Alexandria).

Computed properties:
Its formation energy from raw total energies is -0.958 eV per atom. The magnetization is 0.0000 μB per atom. The calculation puts the density of states at the Fermi level at 0.568 states/eV per atom.

a b c (Å): 4.196 4.196 9.990
angles (deg): 90.00 90.00 90.00
Atoms (fractional coordinates):
Si: 0.500 0.000 0.633
Si: 0.000 0.000 0.000
Si: 0.500 0.500 0.000
Si: 0.000 0.500 0.367
Pt: 0.000 0.500 0.124
Pt: 0.500 0.000 0.876
Pt: 0.000 0.000 0.500
Y: 0.500 0.000 0.243
Y: 0.000 0.500 0.757
Mo: 0.500 0.500 0.500


(12)
# Sn2Mo2Pt

A geometry-optimized Sn2Mo2Pt structure (PBE-GGA, Alexandria).

Computed properties:
The total energy is -6.70 eV/atom. The magnetization is 0.0000 μB per atom. The calculation puts the density of states at the Fermi level at 0.837 states/eV per atom.

a b c (Å): 3.512 3.512 8.656
angles (deg): 78.29 78.29 90.00
Atoms (fractional coordinates):
Mo: 0.750 0.250 0.500
Mo: 0.250 0.750 0.500
Sn: 0.600 0.600 0.800
Sn: 0.400 0.400 0.200
Pt: 0.000 0.000 0.000